1.
Density functional theory data (GGA-PBE) for a relaxed Pm3UTl4Se8 crystal.

Unit cell a=8.5435 b=8.5435 c=23.3157 alpha=90.00 beta=90.00 gamma=120.00
Last column: nearest neighbours and their distance in Å.
Space group R-3m (No. 166, hexagonal axes)
One atom of each set of equivalent atoms:
Pm: 0.0000 0.5000 0.0000 (multiplicity 9)  6 Se 2.96-2.97
U: 0.0000 0.0000 0.0000 (multiplicity 3)  6 Se 2.92
Tl: 0.0000 0.0000 0.5000 (multiplicity 3)  6 Se 3.38
Tl: 0.0000 0.5000 0.5000 (multiplicity 9)  6 Se 3.34
Se: 0.0000 0.0000 0.2634 (multiplicity 6)  3 Pm 2.96
Se: 0.0053 0.5026 0.7361 (multiplicity 18)  1 U 2.92, 2 Pm 2.97

Computed properties:
E, eV per atom: -5.178

---

2.
Density functional theory data (GGA-PBE) for a relaxed Tm5ThBi2 crystal.

Unit cell a=5.4526 b=12.5394 c=14.4101 alpha=90.00 beta=90.00 gamma=90.00
Last column: nearest neighbours and their distance in Å.
Space group Cmcm (No. 63)
One atom of each set of equivalent atoms:
Tm: 0.0000 0.0799 0.1289 (multiplicity 8)  1 Bi 3.07, 4 Tm 3.34-3.43
Tm: 0.0000 0.3550 0.7500 (multiplicity 4)  2 Bi 3.16, 4 Tm 3.34, 1 Th 3.36
Tm: 0.0000 0.3703 0.0094 (multiplicity 8)  3 Bi 3.08-3.10, 3 Tm 3.27-3.43
Th: 0.0000 0.3768 0.2500 (multiplicity 4)  3 Tm 3.36-3.47, 4 Bi 3.46
Bi: 0.0000 0.1638 0.6069 (multiplicity 8)  5 Tm 3.07-3.16

Computed properties:
Formation energy from the elements, eV per atom: -0.1742

---

3.
Density functional theory data (GGA-PBE) for a relaxed NaHgH crystal.

Unit cell a=8.7062 b=4.9160 c=6.4721 alpha=90.00 beta=117.24 gamma=90.00
Last column: nearest neighbours and their distance in Å.
Space group C2/m (No. 12)
One atom of each set of equivalent atoms:
Na: 0.1005 0.0000 0.3118 (multiplicity 4)  6 H 2.94-3.29, 3 Hg 3.12
Hg: 0.1985 0.5000 0.0989 (multiplicity 4)  3 H 3.06-3.43, 3 Hg 3.09, 4 Na 3.12-3.39
H: 0.0249 0.5000 0.5670 (multiplicity 4)  1 H 0.77

Computed properties:
E, eV per atom: -1.718